## HgMoO4 (PBE with a Hubbard U)

Data for crystalline HgMoO4 at its relaxed geometry.

The structure in POSCAR format:
```
HgMoO4
1.0
5.713 -3.163 0.000
5.713 3.163 0.000
-1.988 0.000 4.885
Hg Mo O
2 2 8
Cartesian
2.856 1.581 0.000
1.862 -1.581 2.443
4.222 1.995 3.664
5.216 -1.995 1.221
1.055 0.569 0.154
0.061 -0.569 2.596
3.355 0.909 2.596
5.088 0.909 4.732
4.349 -0.909 0.154
6.082 -0.909 2.289
9.376 0.569 2.289
8.382 -0.569 4.731
```

Uncorrected energy: -5.7038 eV/atom
Calculated volume: 14.71 Å³/atom
Size of the total moment: 0.00 Bohr magnetons per cell